Compound: Hf2PbC
Source: Alexandria via LeMat-Bulk
Functional: GGA-PBEsol
Structure: optimized geometry

Cell: 3.337 3.337 14.535 Å, 90.00 90.00 120.00°
Fractional positions:
C: 0.000 0.000 0.500
C: 0.000 0.000 0.000
Pb: 0.333 0.667 0.750
Pb: 0.667 0.333 0.250
Hf: 0.667 0.333 0.582
Hf: 0.667 0.333 0.918
Hf: 0.333 0.667 0.082
Hf: 0.333 0.667 0.418

Output
As for the density of states at the Fermi level: 1.3 states/eV/f.u. The value obtained for the formation enthalpy at 0 K is -714.4 meV per atom. Its space group is P6_3/mmc, No. 194.

***

Compound: HfRe2TcC
Source: Alexandria via LeMat-Bulk
Functional: GGA-PBEsol
Structure: optimized geometry

Cell: 4.028 4.028 4.349 Å, 90.00 90.00 90.00°
Fractional positions:
Tc: 0.500 0.500 0.500
Re: 0.000 0.500 0.000
Re: 0.500 0.000 0.000
C: 0.000 0.000 0.000
Hf: 0.000 0.000 0.500

Output
As for the density of states at the Fermi level: 6.4 states/eV/f.u. The value obtained for the formation enthalpy at 0 K is 40.9 meV per atom. Its space group is P4/mmm, No. 123.

***

Compound: Hf4Ru12C3
Source: Alexandria via LeMat-Bulk
Functional: GGA-PBEsol
Structure: optimized geometry

Cell: 4.029 4.029 15.794 Å, 90.00 90.00 90.00°
Fractional positions:
C: 0.500 0.500 0.500
C: 0.500 0.500 0.762
C: 0.500 0.500 0.238
Ru: 0.500 0.000 0.249
Ru: 0.500 0.000 0.500
Ru: 0.500 0.500 0.115
Ru: 0.000 0.500 0.249
Ru: 0.000 0.500 0.000
Ru: 0.500 0.500 0.885
Ru: 0.500 0.500 0.372
Ru: 0.500 0.000 0.751
Ru: 0.000 0.500 0.500
Ru: 0.500 0.000 0.000
Ru: 0.500 0.500 0.628
Ru: 0.000 0.500 0.751
Hf: 0.000 0.000 0.627
Hf: 0.000 0.000 0.117
Hf: 0.000 0.000 0.373
Hf: 0.000 0.000 0.883

Output
As for the density of states at the Fermi level: 12.9 states/eV/f.u. The value obtained for the formation enthalpy at 0 K is -360.4 meV per atom. Its space group is P4/mmm, No. 123.

***

Compound: Hf3CS
Source: Alexandria via LeMat-Bulk
Functional: GGA-PBEsol
Structure: optimized geometry

Cell: 4.620 4.620 4.620 Å, 90.00 90.00 90.00°
Fractional positions:
Hf: 0.000 0.000 0.500
Hf: 0.500 0.000 0.000
Hf: 0.000 0.500 0.000
C: 0.500 0.500 0.500
S: 0.000 0.000 0.000

Output
Its formation energy without anion corrections is 1.00 eV per atom. As for the density of states at the Fermi level: 5.0 states/eV/f.u. Its space group is Pm-3m, No. 221.

***

Compound: HfSbC2
Source: Alexandria via LeMat-Bulk
Functional: GGA-PBEsol
Structure: optimized geometry

Cell: 5.113 5.113 6.111 Å, 114.73 114.73 90.00°
Fractional positions:
C: 0.625 0.628 0.750
C: 0.125 0.122 0.750
C: 0.878 0.375 0.250
C: 0.372 0.875 0.250
Hf: 0.250 0.750 0.500
Hf: 0.000 0.000 0.000
Sb: 0.750 0.250 0.500
Sb: 0.500 0.500 0.000

Output
Its formation energy without anion corrections is 0.60 eV per atom. As for the density of states at the Fermi level: 2.9 states/eV/f.u. Its space group is I-42d, No. 122.

***

Compound: HfSbC3
Source: Alexandria via LeMat-Bulk
Functional: GGA-PBEsol
Structure: optimized geometry

Cell: 4.262 4.262 4.262 Å, 90.00 90.00 90.00°
Fractional positions:
C: 0.000 0.000 0.500
C: 0.000 0.500 0.000
C: 0.500 0.000 0.000
Hf: 0.000 0.000 0.000
Sb: 0.500 0.500 0.500

Output
Its formation energy without anion corrections is 1.94 eV per atom. As for the density of states at the Fermi level: 2.2 states/eV/f.u. Its space group is Pm-3m, No. 221.

***

Compound: HfSb3C
Source: Alexandria via LeMat-Bulk
Functional: GGA-PBEsol
Structure: optimized geometry

Cell: 5.387 5.387 5.387 Å, 90.00 90.00 90.00°
Fractional positions:
Hf: 0.000 0.000 0.000
Sb: 0.000 0.500 0.000
Sb: 0.500 0.000 0.000
Sb: 0.000 0.000 0.500
C: 0.500 0.500 0.500

Output
Its formation energy without anion corrections is 1.68 eV per atom. As for the density of states at the Fermi level: 5.7 states/eV/f.u. Its space group is Pm-3m, No. 221.

***

Compound: HfScC3
Source: Alexandria via LeMat-Bulk
Functional: GGA-PBEsol
Structure: optimized geometry

Cell: 4.145 4.145 4.145 Å, 90.00 90.00 90.00°
Fractional positions:
Hf: 0.000 0.000 0.000
C: 0.000 0.500 0.000
C: 0.000 0.000 0.500
C: 0.500 0.000 0.000
Sc: 0.500 0.500 0.500

Output
As for the density of states at the Fermi level: 3.0 states/eV/f.u. The value obtained for the formation enthalpy at 0 K is 1232.7 meV per atom. Its space group is Pm-3m, No. 221.